The following is a GGA-PBE calculation of an optimized crystal structure of LaTb2Zr, from Alexandria.

Computed properties:
Energy above the lowest structure with this stoichiometry, eV per atom: 0.253
Calculated formation energy, eV/atom: 0.330
Symmetry: R-3m
Uncorrected energy, eV per atom: -5.354
Crystal system: trigonal
D(E_F), states/eV per cell: 15.390

abc: 3.3990 3.3990 36.4494
angles: 90.00 90.00 120.00
Closest atoms and distances in Å follow each position.
Atoms (fractional coordinates):
La 0.0000 0.0000 0.0000  6 La 3.40, 6 Tb 3.56
La 0.3333 0.6667 0.6667  6 La 3.40, 6 Tb 3.56
La 0.6667 0.3333 0.3333  6 La 3.40, 6 Tb 3.56
Tb 0.0000 0.0000 0.4150  1 Zr 3.10, 6 Tb 3.40
Tb 0.0000 0.0000 0.5850  1 Zr 3.10, 6 Tb 3.40
Tb 0.3333 0.6667 0.0816  1 Zr 3.10, 6 Tb 3.40
Tb 0.3333 0.6667 0.2517  1 Zr 3.10, 6 Tb 3.40
Tb 0.6667 0.3333 0.7483  1 Zr 3.10, 6 Tb 3.40
Tb 0.6667 0.3333 0.9184  1 Zr 3.10, 6 Tb 3.40
Zr 0.0000 0.0000 0.5000  2 Tb 3.10, 6 Zr 3.40
Zr 0.3333 0.6667 0.1667  2 Tb 3.10, 6 Zr 3.40
Zr 0.6667 0.3333 0.8333  2 Tb 3.10, 6 Zr 3.40